Compound: Tb3GaGe2
Source: the Alexandria database
Functional: PBE
Structure: relaxed

```
Tb3GaGe2
1.0
7.3606 0.4446 0.3465
2.8001 6.8217 0.3465
2.8001 2.0024 6.5304
Tb Ga Ge
6 2 4
Direct
0.4230 0.0770 0.7500 Tb
0.0770 0.7500 0.4230 Tb
0.7500 0.4230 0.0770 Tb
0.5770 0.9230 0.2500 Tb
0.9230 0.2500 0.5770 Tb
0.2500 0.5770 0.9230 Tb
0.5000 0.5000 0.5000 Ga
0.0000 0.0000 0.0000 Ga
0.3357 0.3357 0.3357 Ge
0.1643 0.1643 0.1643 Ge
0.8357 0.8357 0.8357 Ge
0.6643 0.6643 0.6643 Ge
```

**Space group**: No. 167
**Raw total energy**: -5.0016 eV/atom
**ρ**: 7.4 Mg/m³
**Energy of formation**: -643 meV per atom
**Calculated volume**: 25.87 A^3/atom
**Offset from the most stable computed form**: 108 meV/atom